[1]
# Dy2AlGe

An optimized crystal structure of Dy2AlGe (PBE, Alexandria via LeMat-Bulk).

## Properties
DOS at the Fermi energy (states/eV/f.u.): 2.3

Unit cell a=4.749 b=4.749 c=4.061 alpha=90.00 beta=90.00 gamma=90.00
Space group P4/mmm (No. 123)
Symmetry-distinct sites (fractional):
Dy (0.000, 0.500, 0.000) x2
Al (0.000, 0.000, 0.500) x1
Ge (0.500, 0.500, 0.500) x1

=====

[2]
# DyAl2Ge2

An optimized crystal structure of DyAl2Ge2 (PBE, Alexandria via LeMat-Bulk).

## Properties
DOS at the Fermi energy (states/eV/f.u.): 2.1

Unit cell a=5.693 b=4.209 c=8.956 alpha=90.00 beta=104.21 gamma=90.00
Space group P2_1/m (No. 11)
Symmetry-distinct sites (fractional):
Dy (0.137, 0.250, 0.290) x2
Al (0.305, 0.750, 0.053) x2
Al (0.406, 0.250, 0.672) x2
Ge (0.183, 0.250, 0.902) x2
Ge (0.264, 0.750, 0.530) x2

=====

[3]
# DyAlGe

An optimized crystal structure of DyAlGe (PBE, Alexandria via LeMat-Bulk).

## Properties
DOS at the Fermi energy (states/eV/f.u.): 2.4

Unit cell a=4.089 b=4.089 c=8.282 alpha=90.00 beta=90.00 gamma=90.00
Space group I4mm (No. 107)
Symmetry-distinct sites (fractional):
Dy (0.000, 0.000, 0.000) x2
Al (0.000, 0.000, 0.353) x2
Ge (0.000, 0.000, 0.654) x2

=====

[4]
# DyAl2Ge2

An optimized crystal structure of DyAl2Ge2 (PBE, Alexandria via LeMat-Bulk).

## Properties
DOS at the Fermi energy (states/eV/f.u.): 1.9

Unit cell a=4.2714 b=4.2714 c=6.6345 alpha=90.00 beta=90.00 gamma=120.00
Space group P-3m1 (No. 164)
Symmetry-distinct sites (fractional):
Dy (0.0000, 0.0000, 0.0000) x1
Al (0.3333, 0.6667, 0.6458) x2
Ge (0.3333, 0.6667, 0.2565) x2

=====

[5]
# DyAlGe

An optimized crystal structure of DyAlGe (PBE, Alexandria via LeMat-Bulk).

## Properties
DOS at the Fermi energy (states/eV/f.u.): 0.9

Unit cell a=4.078 b=10.436 c=5.769 alpha=90.00 beta=90.00 gamma=90.00
Space group Cmcm (No. 63)
Symmetry-distinct sites (fractional):
Dy (0.000, 0.190, 0.250) x4
Al (0.000, 0.500, 0.000) x4
Ge (0.000, 0.106, 0.750) x4

=====

[6]
# Dy2Al2Ge3

An optimized crystal structure of Dy2Al2Ge3 (PBE, Alexandria via LeMat-Bulk).

## Properties
E above lowest polymorph (meV/atom): 172
DOS at the Fermi energy (states/eV/f.u.): 3.3

Unit cell a=10.546 b=4.361 c=7.643 alpha=90.00 beta=116.86 gamma=90.00
Space group C2/m (No. 12)
Symmetry-distinct sites (fractional):
Dy (0.068, 0.000, 0.284) x4
Al (0.191, 0.500, 0.869) x4
Ge (0.000, 0.500, 0.000) x2
Ge (0.216, 0.000, 0.711) x4

=====

Number 1: total magnetic moment 0.00 μB per cell, VASP energy -4.890 eV/atom, ΔE_f -0.50 eV/atom. Number 2: total magnetic moment 0.00 μB per cell, VASP energy -4.574 eV/atom, ΔE_f -0.31 eV/atom. Number 3: total magnetic moment 0.00 μB per cell, VASP energy -4.507 eV/atom, ΔE_f -0.19 eV/atom. Number 4: total magnetic moment 0.00 μB per cell, VASP energy -4.680 eV/atom, ΔE_f -0.42 eV/atom. Number 5: total magnetic moment 0.00 μB per cell, VASP energy -4.976 eV/atom, ΔE_f -0.66 eV/atom. Number 6: total magnetic moment 0.00 μB per cell, VASP energy -4.741 eV/atom, ΔE_f -0.38 eV/atom.